No. 1
Material: NaNb2Sb2
Method: DFT, GGA-PBE
State: optimized geometry

Values from the calculation:
Fermi-level density of states in states/eV/atom: 1.079
Excess energy over the best structure of this formula in the dataset in eV/f.u.: 0.495
Uncorrected formation energy in eV per atom: -0.024
Symmetry: P4/mbm

a = 7.9254 Å, b = 7.9254 Å, c = 3.4993 Å
α = 90.00°, β = 90.00°, γ = 90.00°
Last column: nearest neighbours and their distance in Å.
Fractional coordinates of all 10 atoms:
Na 0.0000 0.0000 0.0000  4 Sb 3.00
Sb 0.6540 0.1540 0.0000  6 Nb 2.88-2.96, 2 Na 3.00
Sb 0.3460 0.8460 0.0000  6 Nb 2.88-2.96, 2 Na 3.00
Nb 0.6334 0.8666 0.5000  6 Sb 2.88-2.96, 1 Nb 2.99
Na 0.5000 0.5000 0.0000  4 Sb 3.00
Sb 0.1540 0.3460 0.0000  6 Nb 2.88-2.96, 2 Na 3.00
Nb 0.8666 0.3666 0.5000  6 Sb 2.88-2.96, 1 Nb 2.99
Sb 0.8460 0.6540 0.0000  6 Nb 2.88-2.96, 2 Na 3.00
Nb 0.3666 0.1334 0.5000  6 Sb 2.88-2.96, 1 Nb 2.99
Nb 0.1334 0.6334 0.5000  6 Sb 2.88-2.96, 1 Nb 2.99



No. 2
Material: NaNb3Sb
Method: DFT, GGA-PBE
State: optimized geometry

Values from the calculation:
Fermi-level density of states in states/eV/atom: 1.601
Excess energy over the best structure of this formula in the dataset in eV/f.u.: 0.000
Uncorrected formation energy in eV per atom: 1.469
Symmetry: Pm-3m

a = 5.1488 Å, b = 5.1488 Å, c = 5.1488 Å
α = 90.00°, β = 90.00°, γ = 90.00°
Last column: nearest neighbours and their distance in Å.
Fractional coordinates of all 5 atoms:
Nb 0.0000 0.0000 0.5000  2 Sb 2.57
Sb 0.0000 0.0000 0.0000  6 Nb 2.57
Nb 0.5000 0.0000 0.0000  2 Sb 2.57
Na 0.5000 0.5000 0.5000  12 Nb 3.64
Nb 0.0000 0.5000 0.0000  2 Sb 2.57